(1)
{
  "formula": "RbCaSCl2",
  "functional": "GGA-PBE",
  "state": "optimized geometry",
  "lattice": [[5.442, 0.000, 0.000], [0.000, 5.442, 0.000], [0.000, 0.000, 5.538]],
  "species": ["Rb", "Ca", "S", "Cl", "Cl"],
  "frac_coords": [[0.000, 0.000, 0.000], [0.500, 0.500, 0.500], [0.500, 0.500, 0.000], [0.000, 0.500, 0.500], [0.500, 0.000, 0.500]],
  "raw_formation_energy_mev_per_atom": -1609.4,
  "space_group": "P4/mmm, No. 123",
  "dos_at_fermi_per_ev_cell": 5.30
}

---

(2)
{
  "formula": "RbCaSCl2",
  "functional": "GGA-PBE",
  "state": "optimized geometry",
  "lattice": [[5.574, 0.000, 0.000], [0.000, 5.574, 0.000], [0.000, 0.000, 6.832]],
  "species": ["Rb", "Ca", "S", "Cl", "Cl"],
  "frac_coords": [[0.000, 0.000, 0.000], [0.000, 0.000, 0.500], [0.500, 0.500, 0.500], [0.000, 0.500, 0.000], [0.500, 0.000, 0.000]],
  "raw_formation_energy_mev_per_atom": -298.5,
  "space_group": "P4/mmm, No. 123",
  "dos_at_fermi_per_ev_cell": 0.00
}

---

(3)
{
  "formula": "RbCaSCl2",
  "functional": "GGA-PBE",
  "state": "optimized geometry",
  "lattice": [[5.696, 0.000, 0.000], [0.000, 5.696, 0.000], [0.000, 0.000, 5.370]],
  "species": ["Rb", "Ca", "S", "Cl", "Cl"],
  "frac_coords": [[0.000, 0.000, 0.000], [0.500, 0.500, 0.500], [0.000, 0.000, 0.500], [0.000, 0.500, 0.000], [0.500, 0.000, 0.000]],
  "raw_formation_energy_mev_per_atom": -691.2,
  "space_group": "P4/mmm, No. 123",
  "dos_at_fermi_per_ev_cell": 2.54
}

---

(4)
{
  "formula": "RbCa2ScCl8",
  "functional": "GGA-PBE",
  "state": "optimized geometry",
  "lattice": [[6.319, 0.000, 0.000], [0.000, 8.699, 0.000], [-0.125, 0.000, 6.528]],
  "species": ["Rb", "Ca", "Ca", "Sc", "Cl", "Cl", "Cl", "Cl", "Cl", "Cl", "Cl", "Cl"],
  "frac_coords": [[0.000, 0.000, 0.000], [0.500, 0.252, 0.500], [0.500, 0.748, 0.500], [0.000, 0.500, 0.000], [0.226, 0.301, 0.168], [0.226, 0.699, 0.168], [0.258, 0.500, 0.690], [0.276, 0.000, 0.617], [0.724, 0.000, 0.383], [0.742, 0.500, 0.310], [0.774, 0.301, 0.832], [0.774, 0.699, 0.832]],
  "raw_formation_energy_mev_per_atom": -2186.3,
  "space_group": "P2/m, No. 10",
  "dos_at_fermi_per_ev_cell": 0.00
}

---

(5)
{
  "formula": "RbCaScCl6",
  "functional": "GGA-PBE",
  "state": "optimized geometry",
  "lattice": [[6.944, 0.000, 0.000], [-3.472, 6.014, 0.000], [0.000, 0.000, 14.292]],
  "species": ["Rb", "Rb", "Ca", "Ca", "Sc", "Sc", "Cl", "Cl", "Cl", "Cl", "Cl", "Cl", "Cl", "Cl", "Cl", "Cl", "Cl", "Cl"],
  "frac_coords": [[0.000, 0.000, 0.000], [0.000, 0.000, 0.500], [0.333, 0.667, 0.250], [0.667, 0.333, 0.750], [0.333, 0.667, 0.750], [0.667, 0.333, 0.250], [0.026, 0.387, 0.647], [0.026, 0.638, 0.853], [0.362, 0.387, 0.853], [0.362, 0.974, 0.647], [0.387, 0.026, 0.147], [0.387, 0.362, 0.353], [0.613, 0.638, 0.647], [0.613, 0.974, 0.853], [0.638, 0.026, 0.353], [0.638, 0.613, 0.147], [0.974, 0.362, 0.147], [0.974, 0.613, 0.353]],
  "raw_formation_energy_mev_per_atom": -2215.0,
  "space_group": "P-31c, No. 163",
  "dos_at_fermi_per_ev_cell": 0.00
}

---

(6)
{
  "formula": "Rb2CaSeCl6",
  "functional": "GGA-PBE",
  "state": "optimized geometry",
  "lattice": [[-4.013, 4.013, 5.154], [4.013, -4.013, 5.154], [4.013, 4.013, -5.154]],
  "species": ["Rb", "Rb", "Ca", "Se", "Cl", "Cl", "Cl", "Cl", "Cl", "Cl"],
  "frac_coords": [[0.250, 0.750, 0.500], [0.750, 0.250, 0.500], [0.000, 0.000, 0.000], [0.500, 0.500, 0.000], [0.236, 0.236, 0.472], [0.236, 0.764, 0.000], [0.270, 0.270, 0.000], [0.730, 0.730, 0.000], [0.764, 0.236, 0.000], [0.764, 0.764, 0.528]],
  "raw_formation_energy_mev_per_atom": -1427.8,
  "space_group": "I4/mmm, No. 139",
  "dos_at_fermi_per_ev_cell": 0.00
}

---

Which formula does entry 1 have? RbCaSCl2